Cs2TlMo2 | Alexandria via LeMat-Bulk | PBE-GGA | relaxed; space group = No. 139; ΔH_f (0 K) = 1451 meV per atom
1.0
5.0549 0.0000 0.0000
0.0000 5.0549 0.0000
0.0000 0.0000 16.1119
Cs Tl Mo
4 2 4
Direct
0.0000 0.5000 0.2500
0.0000 0.5000 0.7500
0.5000 0.0000 0.2500
0.5000 0.0000 0.7500
0.0000 0.0000 0.0000
0.5000 0.5000 0.5000
0.0000 0.0000 0.4383
0.0000 0.0000 0.5617
0.5000 0.5000 0.0617
0.5000 0.5000 0.9383

=====

TcAsW2 | Alexandria via LeMat-Bulk | PBE-GGA | relaxed; space group = No. 99; ΔH_f (0 K) = 164 meV per atom
1.0
3.1446 0.0000 0.0000
0.0000 3.1446 0.0000
0.0000 0.0000 6.3343
Tc As W
1 1 2
Direct
0.0000 0.0000 0.0000
0.5000 0.5000 0.7228
0.0000 0.0000 0.5023
0.5000 0.5000 0.2240

=====

Cr3Os | Alexandria via LeMat-Bulk | PBE-GGA | relaxed; space group = No. 166; ΔH_f (0 K) = 129 meV per atom
1.0
8.2054 0.0000 0.0000
-4.1027 7.1061 0.0000
0.0000 0.0000 2.5763
Cr Os
9 3
Direct
0.0000 0.5000 0.0000
0.1667 0.3333 0.3333
0.1667 0.8333 0.3333
0.3333 0.1667 0.6667
0.5000 0.0000 0.0000
0.5000 0.5000 0.0000
0.6667 0.8333 0.3333
0.8333 0.1667 0.6667
0.8333 0.6667 0.6667
0.0000 0.0000 0.0000
0.3333 0.6667 0.6667
0.6667 0.3333 0.3333

=====

ZnIn2Si | Alexandria via LeMat-Bulk | PBE-GGA | relaxed; space group = No. 6; E_form (uncorrected) = 0.8 eV per formula unit
1.0
4.2951 0.0000 0.0000
0.0000 4.0862 0.0000
-2.0131 0.0000 5.0153
Zn In Si
1 2 1
Direct
0.0000 0.0000 0.0000
0.4294 0.5000 0.8505
0.7184 0.0000 0.4372
0.1469 0.5000 0.2853

=====

| no. | V (Å³ per cell) |
| --- | --- |
| 1 | 411.7 |
| 2 | 62.6 |
| 3 | 150.2 |
| 4 | 88.0 |